1.
Below is an optimized crystal structure of ZrGaSb3, with properties calculated at the PBE-GGA level.

Values from the calculation:
The theoretical density is 5.1 Mg/m³. The uncorrected formation energy comes out at 0.238 eV/atom. The density of states at the Fermi level comes out at 4.2 states/eV per cell. Its space group is Pm-3m. The value obtained for the energy above the most stable polymorph in this dataset is 0.0000 eV/atom.

a b c (Å): 5.5637 5.5637 5.5637
angles (deg): 90.00 90.00 90.00
Closest atoms and distances in Å follow each position.
Positions (direct):
Zr 0.0000 0.0000 0.0000  6 Sb 2.78
Ga 0.5000 0.5000 0.5000  12 Sb 3.93
Sb 0.0000 0.0000 0.5000  2 Zr 2.78
Sb 0.0000 0.5000 0.0000  2 Zr 2.78
Sb 0.5000 0.0000 0.0000  2 Zr 2.78

---

2.
Below is an optimized crystal structure of Pr7HoSc4, with properties calculated at the PBE-GGA level.

Values from the calculation:
The theoretical density is 5.8 Mg/m³. The density of states at the Fermi level comes out at 17.1 states/eV per cell. Its space group is P-1. The total energy is -5.235 eV/atom.

a b c (Å): 6.2168 7.1534 8.7886
angles (deg): 89.93 76.49 89.86
Closest atoms and distances in Å follow each position.
Positions (direct):
Pr 0.0000 0.0000 0.0000  4 Sc 3.49-3.55, 6 Pr 3.52-3.60, 2 Ho 3.58
Pr 0.2232 0.5015 0.3352  6 Pr 3.49-3.66, 5 Sc 3.50-3.67, 1 Ho 3.54
Pr 0.2904 0.2449 0.6587  6 Sc 3.43-3.69, 5 Pr 3.49-3.66, 1 Ho 3.61
Pr 0.4980 0.7580 0.9878  7 Pr 3.47-3.70, 3 Sc 3.47-3.64, 2 Ho 3.59-3.64
Pr 0.5020 0.2420 0.0122  7 Pr 3.47-3.70, 3 Sc 3.47-3.64, 2 Ho 3.59-3.64
Pr 0.7096 0.7551 0.3413  6 Sc 3.43-3.69, 5 Pr 3.49-3.66, 1 Ho 3.61
Pr 0.7768 0.4985 0.6648  6 Pr 3.49-3.66, 5 Sc 3.50-3.67, 1 Ho 3.54
Ho 0.0000 0.5000 0.0000  10 Pr 3.54-3.64, 2 Sc 3.56
Sc 0.2111 0.9990 0.3422  4 Sc 3.34-3.66, 8 Pr 3.43-3.64
Sc 0.2689 0.7601 0.6637  3 Sc 3.39-3.66, 8 Pr 3.45-3.69, 1 Ho 3.56
Sc 0.7311 0.2399 0.3363  3 Sc 3.39-3.66, 8 Pr 3.45-3.69, 1 Ho 3.56
Sc 0.7889 0.0010 0.6578  4 Sc 3.34-3.66, 8 Pr 3.43-3.64

---

3.
Below is an optimized crystal structure of Pr2MnGa, with properties calculated at the PBE-GGA level.

Values from the calculation:
The theoretical density is 6.1 Mg/m³. The density of states at the Fermi level comes out at 11.1 states/eV per cell. Its space group is R-3m. The value obtained for the energy above the most stable polymorph in this dataset is 0.4751 eV/atom.

a b c (Å): 3.4377 3.4377 32.3275
angles (deg): 90.00 90.00 120.00
Closest atoms and distances in Å follow each position.
Positions (direct):
Pr 0.0000 0.0000 0.0920  1 Mn 2.97, 3 Ga 3.13
Pr 0.0000 0.0000 0.9080  1 Mn 2.97, 3 Ga 3.13
Pr 0.3333 0.6667 0.5747  1 Mn 2.97, 3 Ga 3.13
Pr 0.3333 0.6667 0.7587  1 Mn 2.97, 3 Ga 3.13
Pr 0.6667 0.3333 0.2413  1 Mn 2.97, 3 Ga 3.13
Pr 0.6667 0.3333 0.4253  1 Mn 2.97, 3 Ga 3.13
Mn 0.0000 0.0000 0.0000  2 Pr 2.97
Mn 0.3333 0.6667 0.6667  2 Pr 2.97
Mn 0.6667 0.3333 0.3333  2 Pr 2.97
Ga 0.0000 0.0000 0.5000  6 Pr 3.13, 6 Ga 3.44
Ga 0.3333 0.6667 0.1667  6 Pr 3.13, 6 Ga 3.44
Ga 0.6667 0.3333 0.8333  6 Pr 3.13, 6 Ga 3.44

---

4.
Below is an optimized crystal structure of ZrNi2P, with properties calculated at the PBE-GGA level.

Values from the calculation:
The theoretical density is 7.1 Mg/m³. The density of states at the Fermi level comes out at 3.1 states/eV per cell. Its space group is Pmm2. The total energy is -6.784 eV/atom.

a b c (Å): 3.0682 3.0961 5.8913
angles (deg): 90.00 90.00 90.00
Closest atoms and distances in Å follow each position.
Positions (direct):
Zr 0.0000 0.0000 0.0000  6 Ni 2.70-2.99, 4 P 2.96
Ni 0.0000 0.0000 0.5080  4 P 2.36, 4 Ni 2.59
Ni 0.5000 0.5000 0.2718  1 P 2.29
P 0.5000 0.5000 0.6600  5 Ni 2.29-2.36